Material: K2RbPuCl6
Method: DFT, PBE
State: relaxed

Structure (extended XYZ):
```
10
Lattice="-5.146 -5.294 -2.531 2.139 -5.285 -5.330 0.943 -7.831 2.429" Properties=species:S:1:pos:R:3 pbc="T T T"
Pu -0.943 -3.658 -2.466
Cl 0.084 -11.822 -2.757
Cl 1.204 -8.194 -5.159
Cl -3.580 -10.053 -4.901
Cl -2.224 -6.035 -1.997
Cl -2.460 -10.399 -0.564
Cl 0.894 -8.968 -0.636
K -1.196 -8.843 -3.141
K 0.841 -7.606 2.164
Rb -1.908 -13.012 -5.008
```

Fermi-level density of states ... 9.69 states/eV per cell
ΔE_f (raw) ... -189.6 kJ/mol of atoms
Volume ... 365 Å³ per cell
SG ... No. 146

***

Material: Ca2TlCr
Method: DFT, PBE
State: relaxed

Structure (extended XYZ):
```
4
Lattice="-3.824 -2.513 2.616 0.565 -4.196 -3.140 4.149 1.948 2.593" Properties=species:S:1:pos:R:3 pbc="T T T"
Ca 0.000 0.000 0.000
Ca 1.542 -2.801 -0.404
Tl -0.652 -1.959 2.474
Cr 2.519 -1.406 2.332
```

Fermi-level density of states ... 0.74 states/eV per cell
Volume ... 103 Å³ per cell
SG ... No. 22
Energy above the lowest structure with this stoichiometry ... 1.31 kcal/mol of atoms
Calculated formation energy ... 0.148 eV per atom

***

Material: RbNpZnSe4
Method: DFT, PBE
State: relaxed

Structure (extended XYZ):
```
14
Lattice="7.230 0.000 0.012 0.000 5.805 0.000 -2.831 0.000 9.481" Properties=species:S:1:pos:R:3 pbc="T T T"
Zn 0.999 4.354 3.099
Zn 3.400 1.451 6.394
Se -1.868 2.976 6.621
Se 1.504 1.451 7.825
Se -1.868 5.732 6.621
Se 6.267 0.073 2.872
Se 2.894 4.354 1.669
Se 2.967 1.451 3.992
Se 1.432 4.354 5.501
Se 6.267 2.829 2.872
Rb 2.745 4.354 9.035
Rb 1.654 1.451 0.458
Np 4.071 4.354 4.230
Np 0.328 1.451 5.264
```

Fermi-level density of states ... 19.50 states/eV per cell
ΔE_f (raw) ... -88.5 kJ/mol of atoms
Volume ... 398 Å³ per cell
SG ... No. 11

***

Material: Nd12Tm2Mg
Method: DFT, PBE
State: relaxed

Structure (extended XYZ):
```
30
Lattice="6.667 1.580 0.000 1.580 6.667 0.000 0.000 0.000 24.852" Properties=species:S:1:pos:R:3 pbc="T T T"
Nd 4.123 4.123 8.033
Nd 0.000 0.000 8.033
Nd 2.157 1.966 14.603
Nd 4.123 4.123 16.819
Nd 2.852 5.396 23.019
Nd 5.396 2.852 1.833
Nd 4.123 4.123 19.956
Nd 5.195 2.652 10.921
Nd 2.851 5.394 1.833
Nd 2.064 2.059 3.182
Nd 6.090 6.280 14.603
Nd 2.652 5.195 13.932
Nd 0.000 0.000 4.896
Nd 6.280 6.090 10.250
Nd 2.059 2.064 21.671
Nd 3.051 5.594 10.921
Nd 0.000 0.000 16.819
Nd 1.967 2.157 10.250
Nd 4.123 4.123 4.896
Nd 0.000 0.000 19.956
Nd 6.187 6.182 21.671
Nd 5.594 3.051 13.932
Nd 5.394 2.851 23.019
Nd 6.182 6.187 3.182
Tm 3.333 0.790 18.279
Tm 0.790 3.333 18.205
Tm 0.790 3.333 6.574
Tm 3.333 0.790 6.648
Mg 0.790 3.333 0.002
Mg 3.333 0.790 24.850
```

Fermi-level density of states ... 41.34 states/eV per cell
Volume ... 1043 Å³ per cell
SG ... No. 67
Calculated formation energy ... 0.148 eV per atom

***

Material: Mg4In3Ag
Method: DFT, PBE
State: relaxed

Structure (extended XYZ):
```
8
Lattice="3.242 0.000 0.000 0.000 3.242 0.000 0.000 0.000 16.906" Properties=species:S:1:pos:R:3 pbc="T T T"
Mg 0.000 0.000 1.764
Mg 0.000 0.000 6.207
Mg 0.000 0.000 15.142
Mg 0.000 0.000 10.698
In 1.621 1.621 3.989
In 1.621 1.621 12.917
In 1.621 1.621 8.453
Ag 1.621 1.621 0.000
```

Fermi-level density of states ... 3.02 states/eV per cell
Volume ... 178 Å³ per cell
SG ... No. 123
Calculated formation energy ... -0.125 eV per atom

***

Material: YAuSe2
Method: DFT, PBE
State: relaxed

Structure (extended XYZ):
```
8
Lattice="-0.368 1.770 -3.911 -7.060 -1.963 -0.224 -1.669 5.690 2.732" Properties=species:S:1:pos:R:3 pbc="T T T"
Au -3.248 4.324 -2.080
Au -6.035 -0.465 -1.612
Se -2.649 6.548 -1.130
Se -4.436 2.318 -2.875
Se -7.749 1.116 -0.735
Se -5.607 4.134 0.429
Y -2.461 0.937 -1.313
Y -7.043 3.677 -2.016
```

Fermi-level density of states ... 0.00 states/eV per cell
ΔE_f (raw) ... -111.9 kJ/mol of atoms
Volume ... 206 Å³ per cell
SG ... No. 31

***

Material: CsLaHgCl6
Method: DFT, PBE
State: relaxed

Structure (extended XYZ):
```
18
Lattice="7.237 0.000 0.000 -3.618 6.267 0.000 0.000 0.000 15.337" Properties=species:S:1:pos:R:3 pbc="T T T"
La 0.000 4.178 11.503
La 3.618 2.089 3.834
Cs 0.000 0.000 0.000
Cs 0.000 0.000 7.669
Cl -0.866 6.217 2.234
Cl 5.816 2.359 9.903
Cl -1.332 2.409 2.234
Cl -2.198 3.909 5.434
Cl 2.753 0.051 9.903
Cl 4.951 3.858 13.103
Cl 0.866 6.217 5.434
Cl 2.198 3.909 2.234
Cl 1.332 2.409 5.434
Cl 1.420 2.359 13.103
Cl 2.286 3.858 9.903
Cl 4.484 0.051 13.103
Hg 0.000 4.178 3.834
Hg 3.618 2.089 11.503
```

Fermi-level density of states ... 0.00 states/eV per cell
ΔE_f (raw) ... -164.7 kJ/mol of atoms
Volume ... 696 Å³ per cell
SG ... No. 163

***

Material: Nb2CdBPb
Method: DFT, PBE
State: relaxed

Structure (extended XYZ):
```
5
Lattice="4.452 0.000 0.000 0.000 4.902 0.000 0.000 0.000 4.452" Properties=species:S:1:pos:R:3 pbc="T T T"
Nb 0.000 0.000 2.226
Nb 2.226 0.000 0.000
B 0.000 0.000 0.000
Pb 0.000 2.451 0.000
Cd 2.226 2.451 2.226
```

Fermi-level density of states ... 5.70 states/eV per cell
Volume ... 97 Å³ per cell
SG ... No. 123
Calculated formation energy ... 0.549 eV per atom